Material: CdWOF2
Method: DFT, GGA+U
State: optimized geometry

The calculation puts the total energy at -4.0805 eV/atom. The value obtained for the energy above the most stable polymorph in this dataset is 804 meV/atom. As for the crystal system: tetragonal. The size of the total moment is 4.01 μB per cell.

The structure belongs to space group P4/mmm (No. 123); the cell edges are 4.2479, 4.2479 and 4.5364 Å and the angles 90.00°, 90.00° and 90.00°. The distinct sites, in fractional coordinates, are Cd at (0.0000, 0.0000, 0.0000), W at (0.5000, 0.5000, 0.5000), O at (0.0000, 0.0000, 0.5000) and F at (0.0000, 0.5000, 0.0000).